No. 1
First-principles (PBE-GGA) data for PrTm2Sb after structural relaxation, as listed in Alexandria.

Computed properties:
- magnetic moment (μB per formula unit) = 0.00
- formation energy (no corrections) (meV per atom) = -450

Cell lengths 3.9420, 3.9420, 7.4907 Å; angles 90.00, 90.00, 90.00 degrees
Space group P4/mmm (No. 123)
One atom of each set of equivalent atoms:
Pr: 0.0000 0.0000 0.0000 (multiplicity 1)
Tm: 0.5000 0.5000 0.2848 (multiplicity 2)
Sb: 0.0000 0.0000 0.5000 (multiplicity 1)


No. 2
First-principles (PBE-GGA) data for MgIn2SeN after structural relaxation, as listed in Alexandria.

Computed properties:
- magnetic moment (μB per formula unit) = 2.19
- formation energy (no corrections) (meV per atom) = 1054

Cell lengths 5.7534, 5.7534, 4.8968 Å; angles 90.00, 90.00, 90.00 degrees
Space group P4/mmm (No. 123)
One atom of each set of equivalent atoms:
Mg: 0.0000 0.0000 0.0000 (multiplicity 1)
In: 0.0000 0.5000 0.0000 (multiplicity 2)
Se: 0.0000 0.0000 0.5000 (multiplicity 1)
N: 0.5000 0.5000 0.5000 (multiplicity 1)


No. 3
First-principles (PBE-GGA) data for ZnP2Os after structural relaxation, as listed in Alexandria.

Computed properties:
- magnetic moment (μB per formula unit) = 0.00
- energy of formation (meV/atom) = 109

Cell lengths 3.3226, 4.0267, 4.5814 Å; angles 90.00, 90.10, 90.00 degrees
Space group P2/m (No. 10)
One atom of each set of equivalent atoms:
Zn: 0.0000 0.0000 0.0000 (multiplicity 1)
P: 0.4994 0.5000 0.7718 (multiplicity 2)
Os: 0.5000 0.0000 0.5000 (multiplicity 1)


No. 4
First-principles (PBE-GGA) data for SrBi2Os after structural relaxation, as listed in Alexandria.

Computed properties:
- magnetic moment (μB per formula unit) = 0.00
- energy of formation (meV/atom) = 316

Cell lengths 7.3320, 7.3320, 7.3320 Å; angles 90.00, 90.00, 90.00 degrees
Space group Fm-3m (No. 225)
One atom of each set of equivalent atoms:
Sr: 0.0000 0.0000 0.0000 (multiplicity 4)
Bi: 0.2500 0.2500 0.2500 (multiplicity 8)
Os: 0.0000 0.0000 0.5000 (multiplicity 4)